Entry 1:
This record from the Alexandria database describes a PBEsol-optimized structure of RbTaPd2O. The functional is SCAN.

## Properties
DOS(E_F) ... 4.0 states/eV/f.u.
Uncorrected formation energy ... 932 kJ/mol of formula units
Uncorrected energy ... -29.889 eV/atom

Unit cell a=5.0226 b=5.0226 c=3.9074 alpha=90.00 beta=90.00 gamma=90.00
Sites, in units of the cell vectors:
Rb 0.0000 0.0000 0.0000
Ta 0.5000 0.5000 0.5000
Pd 0.0000 0.5000 0.0000
Pd 0.5000 0.0000 0.0000
O 0.0000 0.0000 0.5000

---

Entry 2:
This record from the Alexandria database describes a PBEsol-optimized structure of TcAs2P. The functional is SCAN.

## Properties
DOS(E_F) ... 2.6 states/eV/f.u.
ΔH_f (0 K) ... 532 meV per atom
Uncorrected energy ... -20.928 eV/atom

Unit cell a=3.1266 b=4.1694 c=4.6808 alpha=90.00 beta=90.00 gamma=90.00
Sites, in units of the cell vectors:
Tc 0.0000 0.0000 0.0000
As 0.0000 0.5000 0.5000
As 0.5000 0.0000 0.5000
P 0.5000 0.5000 0.0000

---

Entry 3:
This record from the Alexandria database describes a PBEsol-optimized structure of SmCuSi. The functional is SCAN.

## Properties
DOS(E_F) ... 0.8 states/eV/f.u.
Uncorrected formation energy ... -199 kJ/mol of formula units
Uncorrected energy ... -23.905 eV/atom

Unit cell a=4.1352 b=4.1352 c=7.6547 alpha=90.00 beta=90.00 gamma=120.00
Sites, in units of the cell vectors:
Sm 0.0000 0.0000 0.0000
Sm 0.0000 0.0000 0.5000
Cu 0.3333 0.6667 0.2500
Cu 0.6667 0.3333 0.7500
Si 0.3333 0.6667 0.7500
Si 0.6667 0.3333 0.2500

---

| no. | total moment (μB per cell) |
| --- | --- |
| 1 | 0.0 |
| 2 | 0.0 |
| 3 | 0.0 |